Run i
CsMgNbPt after structural relaxation. Source: OQMD, functional PBE-GGA.

Calculated values
The crystal system is cubic. The value obtained for the total magnetization is 0.00 μB per cell.

Unit cell a=6.976 b=6.976 c=6.976 alpha=90.00 beta=90.00 gamma=90.00
Space group F-43m (No. 216)
Symmetry-distinct sites (fractional):
Cs 0.000 0.000 0.000
Mg 0.250 0.250 0.250
Nb 0.250 0.250 0.750
Pt 0.000 0.000 0.500



Run ii
CsMgNbPt after structural relaxation. Source: OQMD, functional PBE-GGA.

Calculated values
The crystal system is cubic. The value obtained for the total magnetization is 13.09 μB per cell.

Unit cell a=7.232 b=7.232 c=7.232 alpha=90.00 beta=90.00 gamma=90.00
Space group F-43m (No. 216)
Symmetry-distinct sites (fractional):
Cs 0.000 0.000 0.000
Mg 0.000 0.000 0.500
Nb 0.250 0.250 0.250
Pt 0.250 0.250 0.750



The winner here is run i, beating the second structure by 0.317 eV/atom.



Run i
CsMgTaNi after structural relaxation. Source: OQMD, functional PBE-GGA.

Calculated values
The crystal system is cubic. The value obtained for the total magnetization is 0.07 μB per cell.

Unit cell a=6.993 b=6.993 c=6.993 alpha=90.00 beta=90.00 gamma=90.00
Space group F-43m (No. 216)
Symmetry-distinct sites (fractional):
Cs 0.000 0.000 0.000
Mg 0.000 0.000 0.500
Ta 0.250 0.250 0.250
Ni 0.250 0.250 0.750



Run ii
CsMgTaNi after structural relaxation. Source: OQMD, functional PBE-GGA.

Calculated values
The crystal system is cubic. The value obtained for the total magnetization is 0.05 μB per cell.

Unit cell a=6.928 b=6.928 c=6.928 alpha=90.00 beta=90.00 gamma=90.00
Space group F-43m (No. 216)
Symmetry-distinct sites (fractional):
Cs 0.000 0.000 0.000
Mg 0.250 0.250 0.250
Ta 0.250 0.250 0.750
Ni 0.000 0.000 0.500



The winner here is run ii, beating the second structure by 0.224 eV/atom.



Run i
CsMgTaPd after structural relaxation. Source: OQMD, functional PBE-GGA.

Calculated values
The crystal system is cubic. The value obtained for the total magnetization is 0.00 μB per cell.

Unit cell a=7.027 b=7.027 c=7.027 alpha=90.00 beta=90.00 gamma=90.00
Space group F-43m (No. 216)
Symmetry-distinct sites (fractional):
Cs 0.000 0.000 0.000
Mg 0.250 0.250 0.250
Ta 0.250 0.250 0.750
Pd 0.000 0.000 0.500



Run ii
CsMgTaPd after structural relaxation. Source: OQMD, functional PBE-GGA.

Calculated values
The crystal system is cubic. The value obtained for the total magnetization is 8.83 μB per cell.

Unit cell a=7.341 b=7.341 c=7.341 alpha=90.00 beta=90.00 gamma=90.00
Space group F-43m (No. 216)
Symmetry-distinct sites (fractional):
Cs 0.000 0.000 0.000
Mg 0.250 0.250 0.750
Ta 0.000 0.000 0.500
Pd 0.250 0.250 0.250



The winner here is run i, beating the second structure by 0.200 eV/atom.



Run i
CsMgPt after structural relaxation. Source: OQMD, functional PBE-GGA.

Calculated values
The crystal system is cubic. The value obtained for the total magnetization is 0.01 μB per cell.

Unit cell a=7.161 b=7.161 c=7.161 alpha=90.00 beta=90.00 gamma=90.00
Space group F-43m (No. 216)
Symmetry-distinct sites (fractional):
Cs 0.000 0.000 0.000
Mg 0.250 0.250 0.250
Pt 0.000 0.000 0.500



Run ii
CsMgPt after structural relaxation. Source: OQMD, functional PBE-GGA.

Calculated values
The crystal system is cubic. The value obtained for the total magnetization is 0.10 μB per cell.

Unit cell a=7.338 b=7.338 c=7.338 alpha=90.00 beta=90.00 gamma=90.00
Space group F-43m (No. 216)
Symmetry-distinct sites (fractional):
Cs 0.000 0.000 0.000
Mg 0.000 0.000 0.500
Pt 0.250 0.250 0.250



The winner here is run ii, beating the second structure by 0.139 eV/atom.